a | DFT (PBE-GGA) results for crystalline SrPrEuSbO6 at its relaxed geometry.

a b c (Å): 5.920 6.078 8.473
angles (deg): 89.90 89.60 90.02
Element x y z (fractional)
Sr: 0.012 0.955 0.249
Sr: 0.988 0.045 0.751
Pr: 0.000 0.500 0.000
Pr: 0.500 0.000 0.500
Eu: 0.485 0.454 0.250
Eu: 0.515 0.546 0.750
Sb: 0.500 0.000 0.000
Sb: 0.000 0.500 0.500
O: 0.776 0.814 0.953
O: 0.726 0.313 0.553
O: 0.224 0.186 0.047
O: 0.274 0.687 0.447
O: 0.679 0.276 0.941
O: 0.817 0.773 0.558
O: 0.321 0.724 0.059
O: 0.183 0.227 0.442
O: 0.596 0.043 0.228
O: 0.894 0.535 0.272
O: 0.404 0.957 0.772
O: 0.106 0.465 0.728



b | DFT (PBE-GGA) results for crystalline SrPrEuSbO6 at its relaxed geometry.

a b c (Å): 6.078 6.078 6.078
angles (deg): 60.00 60.00 60.00
Element x y z (fractional)
Sr: 0.750 0.750 0.750
Pr: 0.000 0.000 0.000
Eu: 0.250 0.250 0.250
Sb: 0.500 0.500 0.500
O: 0.268 0.732 0.268
O: 0.732 0.268 0.732
O: 0.268 0.732 0.732
O: 0.732 0.268 0.268
O: 0.268 0.268 0.732
O: 0.732 0.732 0.268



Which of them is most stable? Easy: a.